No. 1
NdY2Cd | GGA-PBE | optimized geometry

Lattice parameters (Å, degrees): 3.649 3.649 9.058 90.00 90.00 90.00
Atoms (fractional coordinates):
Cd 0.500 0.500 0.000
Y 0.000 0.000 0.780
Y 0.000 0.000 0.220
Nd 0.500 0.500 0.500

Polymorph energy (0 for the lowest one) = 0 meV per atom
Total DFT energy (no corrections) = -4.818 eV per atom
Total moment = 0.000 μB per atom
DOS at the Fermi energy = 4.43 states/eV/cell



No. 2
NdY2Cd8 | GGA-PBE | optimized geometry

Lattice parameters (Å, degrees): 5.348 6.371 8.985 110.53 107.04 90.75
Atoms (fractional coordinates):
Cd 0.702 0.202 0.404
Cd 0.125 0.362 0.260
Cd 0.134 0.898 0.260
Cd 0.298 0.798 0.596
Cd 0.866 0.102 0.740
Cd 0.875 0.638 0.740
Cd 0.748 0.504 0.000
Cd 0.252 0.496 0.000
Nd 0.500 0.000 0.000
Y 0.690 0.690 0.380
Y 0.310 0.310 0.620

Total DFT energy (no corrections) = -2.551 eV per atom
Total moment = 0.000 μB per atom
DOS at the Fermi energy = 6.19 states/eV/cell



No. 3
YbNdCd2 | GGA-PBE | optimized geometry

Lattice parameters (Å, degrees): 5.405 5.405 5.405 60.00 60.00 60.00
Each line ends with the local moment (μB).
Atoms (fractional coordinates):
Nd 0.500 0.500 0.500  0.01
Cd 0.750 0.750 0.750  0.00
Cd 0.250 0.250 0.250  0.00
Yb 0.000 0.000 0.000  0.22

Total DFT energy (no corrections) = -2.409 eV per atom
Total moment = 0.065 μB per atom
DOS at the Fermi energy = 15.56 states/eV/cell



No. 4
Nd4Zn2Cd5 | GGA-PBE | optimized geometry

Lattice parameters (Å, degrees): 3.713 7.790 10.021 94.57 90.00 90.00
Each line ends with the local moment (μB).
Atoms (fractional coordinates):
Cd 0.000 0.500 0.000  0.00
Cd 0.000 0.561 0.302  0.00
Cd 0.000 0.190 0.159  0.00
Cd 0.000 0.439 0.698  0.00
Cd 0.000 0.810 0.841  0.00
Nd 0.500 0.168 0.870  0.02
Nd 0.500 0.256 0.442  0.09
Nd 0.500 0.744 0.558  0.09
Nd 0.500 0.832 0.130  0.02
Zn 0.000 0.059 0.630  0.01
Zn 0.000 0.941 0.370  0.01

Total DFT energy (no corrections) = -2.652 eV per atom
Total moment = 0.051 μB per atom
DOS at the Fermi energy = 11.29 states/eV/cell



No. 5
Nd12ZnCd6 | GGA-PBE | optimized geometry

Lattice parameters (Å, degrees): 8.262 8.262 8.262 88.58 88.58 88.58
Atoms (fractional coordinates):
Nd 0.021 0.146 0.368
Nd 0.368 0.021 0.146
Nd 0.554 0.194 0.470
Nd 0.806 0.530 0.446
Nd 0.446 0.806 0.530
Nd 0.146 0.368 0.021
Nd 0.470 0.554 0.194
Nd 0.854 0.632 0.979
Nd 0.979 0.854 0.632
Nd 0.194 0.470 0.554
Nd 0.632 0.979 0.854
Nd 0.530 0.446 0.806
Cd 0.740 0.891 0.259
Cd 0.109 0.741 0.260
Cd 0.259 0.740 0.891
Cd 0.260 0.109 0.741
Cd 0.891 0.259 0.740
Cd 0.741 0.260 0.109
Zn 0.000 0.000 0.000

Total DFT energy (no corrections) = -3.486 eV per atom
Total moment = 0.000 μB per atom
DOS at the Fermi energy = 22.22 states/eV/cell



No. 6
NdZn5Cd7 | GGA-PBE | optimized geometry

Lattice parameters (Å, degrees): 5.652 7.327 7.327 80.98 67.31 67.31
Atoms (fractional coordinates):
Cd 0.998 0.656 0.349
Cd 0.501 0.208 0.790
Cd 0.349 0.651 0.651
Cd 0.279 0.221 0.221
Cd 0.501 0.790 0.208
Cd 0.998 0.349 0.656
Cd 0.656 0.344 0.344
Nd 0.004 0.996 0.996
Zn 0.721 0.779 0.779
Zn 0.499 0.993 0.510
Zn 0.998 0.510 0.993
Zn 0.998 0.993 0.510
Zn 0.499 0.510 0.993

Total DFT energy (no corrections) = -1.482 eV per atom
Total moment = 0.000 μB per atom
DOS at the Fermi energy = 2.21 states/eV/cell



No. 7
Nd2ZnCd16 | GGA-PBE | optimized geometry

Lattice parameters (Å, degrees): 7.648 7.648 7.648 82.33 82.33 82.33
Atoms (fractional coordinates):
Cd 0.207 0.626 0.626
Cd 0.699 0.301 0.001
Cd 0.626 0.207 0.626
Cd 0.001 0.699 0.301
Cd 0.976 0.536 0.976
Cd 0.301 0.001 0.699
Cd 0.301 0.699 0.001
Cd 0.342 0.342 0.875
Cd 0.626 0.626 0.207
Cd 0.976 0.976 0.536
Cd 0.875 0.342 0.342
Cd 0.536 0.976 0.976
Cd 0.001 0.301 0.699
Cd 0.699 0.001 0.301
Cd 0.342 0.875 0.342
Cd 0.093 0.093 0.093
Nd 0.326 0.326 0.326
Nd 0.671 0.671 0.671
Zn 0.904 0.904 0.904

Total DFT energy (no corrections) = -1.485 eV per atom
Total moment = 0.000 μB per atom
DOS at the Fermi energy = 4.57 states/eV/cell



No. 8
Nd3Zn8Cd | GGA-PBE | optimized geometry

Lattice parameters (Å, degrees): 5.535 5.535 9.592 73.23 73.23 60.00
Atoms (fractional coordinates):
Nd 0.377 0.377 0.868
Nd 0.504 0.504 0.488
Nd 0.994 0.994 0.017
Zn 0.440 0.440 0.185
Zn 0.939 0.939 0.687
Zn 0.935 0.440 0.185
Zn 0.187 0.187 0.439
Zn 0.440 0.935 0.185
Zn 0.689 0.689 0.933
Zn 0.434 0.939 0.687
Zn 0.939 0.434 0.687
Cd 0.871 0.871 0.386

Total DFT energy (no corrections) = -2.381 eV per atom
Total moment = 0.000 μB per atom
DOS at the Fermi energy = 5.55 states/eV/cell



No. 9
Nd2Zn2Cd3 | GGA-PBE | optimized geometry

Lattice parameters (Å, degrees): 4.490 5.789 7.510 111.74 90.00 112.82
Atoms (fractional coordinates):
Nd 0.141 0.282 0.779
Nd 0.859 0.718 0.221
Zn 0.847 0.695 0.800
Zn 0.153 0.305 0.200
Cd 0.500 0.000 0.000
Cd 0.378 0.756 0.564
Cd 0.622 0.244 0.436

Polymorph energy (0 for the lowest one) = 0 meV per atom
Total DFT energy (no corrections) = -2.421 eV per atom
Total moment = 0.000 μB per atom
DOS at the Fermi energy = 4.79 states/eV/cell



No. 10
Nd5Zn4Cd | GGA-PBE | optimized geometry

Lattice parameters (Å, degrees): 3.702 3.702 18.782 90.00 90.00 90.00
Atoms (fractional coordinates):
Nd 0.500 0.500 0.112
Nd 0.500 0.500 0.304
Nd 0.500 0.500 0.500
Nd 0.500 0.500 0.696
Nd 0.500 0.500 0.888
Zn 0.000 0.000 0.402
Zn 0.000 0.000 0.793
Zn 0.000 0.000 0.207
Zn 0.000 0.000 0.598
Cd 0.000 0.000 0.000

Total DFT energy (no corrections) = -3.295 eV per atom
Total moment = 0.000 μB per atom
DOS at the Fermi energy = 11.83 states/eV/cell



No. 11
Nd3Zn4Cd2 | GGA-PBE | optimized geometry

Lattice parameters (Å, degrees): 4.776 5.951 8.964 113.78 90.00 113.66
Atoms (fractional coordinates):
Nd 0.664 0.328 0.673
Nd 0.336 0.672 0.327
Nd 0.000 0.000 0.000
Zn 0.727 0.455 0.054
Zn 0.273 0.545 0.946
Zn 0.944 0.887 0.604
Zn 0.056 0.113 0.396
Cd 0.618 0.236 0.284
Cd 0.382 0.764 0.716

Total DFT energy (no corrections) = -2.680 eV per atom
Total moment = 0.000 μB per atom
DOS at the Fermi energy = 7.80 states/eV/cell



No. 12
Nd4Zn5Cd | GGA-PBE | optimized geometry

Lattice parameters (Å, degrees): 3.657 3.657 17.850 90.00 90.00 90.00
Atoms (fractional coordinates):
Nd 0.000 0.000 0.809
Nd 0.000 0.000 0.191
Nd 0.000 0.000 0.604
Nd 0.000 0.000 0.396
Zn 0.500 0.500 0.706
Zn 0.500 0.500 0.500
Zn 0.500 0.500 0.084
Zn 0.500 0.500 0.294
Zn 0.500 0.500 0.916
Cd 0.000 0.000 0.000

Total DFT energy (no corrections) = -2.881 eV per atom
Total moment = 0.000 μB per atom
DOS at the Fermi energy = 8.73 states/eV/cell



No. 13
Nd5Zn3Cd | GGA-PBE | optimized geometry

Lattice parameters (Å, degrees): 6.777 9.151 9.155 119.98 90.00 90.00
Atoms (fractional coordinates):
Nd 0.500 0.333 0.667
Nd 0.000 0.667 0.333
Nd 0.250 0.306 0.306
Nd 0.750 0.307 0.000
Nd 0.250 0.693 0.000
Nd 0.750 0.694 0.694
Nd 0.250 0.000 0.694
Nd 0.750 0.000 0.306
Nd 0.500 0.667 0.333
Nd 0.000 0.333 0.667
Zn 0.250 0.000 0.357
Zn 0.250 0.357 0.000
Zn 0.250 0.643 0.643
Zn 0.750 0.357 0.357
Zn 0.750 0.000 0.643
Zn 0.750 0.643 0.000
Cd 0.500 0.000 0.000
Cd 0.000 0.000 0.000

Total DFT energy (no corrections) = -3.357 eV per atom
Total moment = 0.000 μB per atom
DOS at the Fermi energy = 19.62 states/eV/cell



No. 14
Nd2Zn6Cd3 | GGA-PBE | optimized geometry

Lattice parameters (Å, degrees): 4.246 7.549 7.549 94.24 90.00 90.00
Atoms (fractional coordinates):
Nd 0.000 0.290 0.710
Nd 0.000 0.710 0.290
Cd 0.000 0.786 0.786
Cd 0.000 0.214 0.214
Cd 0.500 0.000 0.000
Zn 0.500 0.958 0.646
Zn 0.500 0.042 0.354
Zn 0.500 0.646 0.958
Zn 0.500 0.354 0.042
Zn 0.500 0.614 0.614
Zn 0.500 0.386 0.386

Total DFT energy (no corrections) = -1.944 eV per atom
Total moment = 0.000 μB per atom
DOS at the Fermi energy = 5.66 states/eV/cell



No. 15
Nd3ZnCd | GGA-PBE | optimized geometry

Lattice parameters (Å, degrees): 7.555 7.555 7.555 90.00 90.00 90.00
Each line ends with the local moment (μB).
Atoms (fractional coordinates):
Cd 0.500 0.000 0.500  0.00
Cd 0.500 0.500 0.000  0.00
Cd 0.000 0.500 0.500  0.00
Nd 0.764 0.236 0.764  0.05
Nd 0.236 0.236 0.236  0.05
Nd 0.236 0.764 0.764  0.05
Nd 0.236 0.764 0.236  0.05
Nd 0.500 0.500 0.500  0.30
Nd 0.764 0.764 0.764  0.05
Nd 0.764 0.236 0.236  0.05
Nd 0.236 0.236 0.764  0.05
Nd 0.764 0.764 0.236  0.05
Zn 0.000 0.000 0.500  0.00
Zn 0.000 0.500 0.000  0.00
Zn 0.500 0.000 0.000  0.00

Polymorph energy (0 for the lowest one) = 53 meV per atom
Total DFT energy (no corrections) = -3.474 eV per atom
Total moment = 0.089 μB per atom
DOS at the Fermi energy = 20.85 states/eV/cell



No. 16
Nd2ZnCd5 | GGA-PBE | optimized geometry

Lattice parameters (Å, degrees): 4.694 9.041 9.818 90.00 90.00 105.04
Atoms (fractional coordinates):
Nd 0.000 0.000 0.500
Nd 0.806 0.612 0.750
Nd 0.000 0.000 0.000
Nd 0.194 0.388 0.250
Cd 0.600 0.200 0.750
Cd 0.640 0.280 0.466
Cd 0.808 0.616 0.103
Cd 0.640 0.280 0.034
Cd 0.192 0.384 0.897
Cd 0.192 0.384 0.603
Cd 0.360 0.720 0.966
Cd 0.400 0.800 0.250
Cd 0.808 0.616 0.397
Cd 0.360 0.720 0.534
Zn 0.550 0.100 0.250
Zn 0.450 0.900 0.750

Total DFT energy (no corrections) = -2.164 eV per atom
Total moment = 0.000 μB per atom
DOS at the Fermi energy = 12.91 states/eV/cell



No. 17
Nd2Zn3Cd5 | GGA-PBE | optimized geometry

Lattice parameters (Å, degrees): 6.183 9.167 9.167 81.44 70.29 70.29
Atoms (fractional coordinates):
Zn 0.750 0.000 0.000
Zn 0.250 0.000 0.000
Zn 0.876 0.765 0.484
Zn 0.124 0.235 0.516
Zn 0.624 0.516 0.235
Zn 0.376 0.484 0.765
Cd 0.498 0.252 0.252
Cd 0.998 0.252 0.252
Cd 0.250 0.500 0.500
Cd 0.386 0.257 0.971
Cd 0.002 0.748 0.748
Cd 0.750 0.500 0.500
Cd 0.114 0.029 0.743
Cd 0.886 0.971 0.257
Cd 0.614 0.743 0.029
Cd 0.502 0.748 0.748
Nd 0.629 0.126 0.616
Nd 0.871 0.384 0.874
Nd 0.371 0.874 0.384
Nd 0.129 0.616 0.126

Total DFT energy (no corrections) = -2.021 eV per atom
Total moment = 0.000 μB per atom
DOS at the Fermi energy = 11.11 states/eV/cell



No. 18
Nd4Zn2Cd | GGA-PBE | optimized geometry

Lattice parameters (Å, degrees): 5.240 5.240 8.895 72.87 72.87 60.00
Atoms (fractional coordinates):
Cd 0.000 0.000 0.000
Nd 0.384 0.384 0.848
Nd 0.868 0.868 0.395
Nd 0.132 0.132 0.605
Nd 0.616 0.616 0.152
Zn 0.255 0.255 0.234
Zn 0.745 0.745 0.766

Total DFT energy (no corrections) = -3.390 eV per atom
Total moment = 0.001 μB per atom
DOS at the Fermi energy = 10.59 states/eV/cell



No. 19
NdZnCd | GGA-PBE | optimized geometry

Lattice parameters (Å, degrees): 3.130 3.130 8.637 100.44 100.44 90.00
Atoms (fractional coordinates):
Nd 0.946 0.946 0.892
Cd 0.140 0.140 0.279
Zn 0.765 0.765 0.529

Total DFT energy (no corrections) = -1.922 eV per atom
Total moment = 0.000 μB per atom
DOS at the Fermi energy = 3.54 states/eV/cell



No. 20
Nd3ZnCd | GGA-PBE | optimized geometry

Lattice parameters (Å, degrees): 5.357 5.353 10.380 90.00 75.05 90.00
Atoms (fractional coordinates):
Nd 0.759 0.250 0.130
Nd 0.074 0.750 0.500
Nd 0.889 0.750 0.870
Nd 0.389 0.250 0.870
Nd 0.574 0.250 0.500
Nd 0.259 0.750 0.130
Zn 0.979 0.250 0.691
Zn 0.670 0.750 0.309
Cd 0.480 0.750 0.688
Cd 0.168 0.250 0.312

Polymorph energy (0 for the lowest one) = 0 meV per atom
Total DFT energy (no corrections) = -3.527 eV per atom
Total moment = 0.020 μB per atom
DOS at the Fermi energy = 11.33 states/eV/cell



No. 21
Nd2Zn7Cd | GGA-PBE | optimized geometry

Lattice parameters (Å, degrees): 4.257 4.257 11.003 90.00 90.00 90.00
Atoms (fractional coordinates):
Nd 0.000 0.500 0.263
Nd 0.500 0.000 0.737
Cd 0.500 0.500 0.000
Zn 0.500 0.500 0.500
Zn 0.000 0.000 0.000
Zn 0.500 0.000 0.373
Zn 0.000 0.500 0.627
Zn 0.500 0.000 0.149
Zn 0.000 0.000 0.500
Zn 0.000 0.500 0.851

Total DFT energy (no corrections) = -2.232 eV per atom
Total moment = 0.000 μB per atom
DOS at the Fermi energy = 6.88 states/eV/cell